No. 1
! Nb2Ni6Pt, relaxed, DFT PBE; values from VASP
&SYSTEM
  ibrav = 0, nat = 9, ntyp = 3
/
ATOMIC_SPECIES
Nb 92.91 Nb.upf
Ni 58.69 Ni.upf
Pt 195.08 Pt.upf
ATOMIC_POSITIONS crystal
Nb 0.935 0.168 0.869
Nb 0.065 0.832 0.131
Ni 0.389 0.835 0.778
Ni 0.611 0.165 0.222
Ni 0.727 0.833 0.454
Ni 0.173 0.501 0.345
Ni 0.273 0.167 0.546
Ni 0.827 0.499 0.655
Pt 0.500 0.500 0.000
CELL_PARAMETERS angstrom
3.581 0.000 -1.071
-0.556 5.713 -1.860
-0.227 0.089 5.765
! E_form = -2.10 eV/f.u.
! Electronic total energy = -6.996 eV/atom
! Energy above the lowest structure with this stoichiometry = 0.00 kcal/mol of atoms
! Calculated volume = 13.0 Å³/atom
! Crystal system = monoclinic

---

No. 2
! Nb2NiPt3, relaxed, DFT PBE; values from VASP
&SYSTEM
  ibrav = 0, nat = 12, ntyp = 3
/
ATOMIC_SPECIES
Nb 92.91 Nb.upf
Ni 58.69 Ni.upf
Pt 195.08 Pt.upf
ATOMIC_POSITIONS crystal
Nb 0.000 0.000 0.626
Nb 0.000 0.000 0.374
Nb 0.000 0.000 0.126
Nb 0.000 0.000 0.874
Ni 0.667 0.333 0.750
Ni 0.333 0.667 0.250
Pt 0.667 0.333 0.250
Pt 0.333 0.667 0.750
Pt 0.667 0.333 0.513
Pt 0.333 0.667 0.487
Pt 0.333 0.667 0.013
Pt 0.667 0.333 0.987
CELL_PARAMETERS angstrom
-2.357 -3.751 -0.632
1.445 1.071 4.098
-9.211 5.480 1.817
! E_form = -2.64 eV/f.u.
! Electronic total energy = -7.781 eV/atom
! Energy above the lowest structure with this stoichiometry = 1.09 kcal/mol of atoms
! Calculated volume = 15.7 Å³/atom
! Crystal system = hexagonal

---

No. 3
! NbNi3Pt, relaxed, DFT PBE; values from VASP
&SYSTEM
  ibrav = 0, nat = 5, ntyp = 3
/
ATOMIC_SPECIES
Ni 58.69 Ni.upf
Nb 92.91 Nb.upf
Pt 195.08 Pt.upf
ATOMIC_POSITIONS crystal
Ni 0.000 0.500 0.000
Ni 0.000 0.000 0.500
Ni 0.500 0.000 0.000
Nb 0.500 0.500 0.500
Pt 0.000 0.000 0.000
CELL_PARAMETERS angstrom
4.516 0.000 0.000
0.000 4.516 0.000
0.000 0.000 4.516
! E_form = 6.32 eV/f.u.
! Electronic total energy = -5.426 eV/atom
! Energy above the lowest structure with this stoichiometry = 35.60 kcal/mol of atoms
! Calculated volume = 18.4 Å³/atom
! Crystal system = cubic

---

No. 4
! NbNi6Pt2, relaxed, DFT PBE; values from VASP
&SYSTEM
  ibrav = 0, nat = 9, ntyp = 3
/
ATOMIC_SPECIES
Nb 92.91 Nb.upf
Ni 58.69 Ni.upf
Pt 195.08 Pt.upf
ATOMIC_POSITIONS crystal
Nb 0.000 0.000 0.000
Ni 0.168 0.821 0.668
Ni 0.832 0.179 0.332
Ni 0.320 0.359 0.000
Ni 0.168 0.489 0.332
Ni 0.832 0.511 0.668
Ni 0.680 0.641 0.000
Pt 0.500 0.840 0.321
Pt 0.500 0.160 0.679
CELL_PARAMETERS angstrom
-4.050 -1.638 -0.125
-1.937 -1.241 3.975
-3.407 5.357 2.665
! E_form = -1.25 eV/f.u.
! Electronic total energy = -6.455 eV/atom
! Energy above the lowest structure with this stoichiometry = 0.00 kcal/mol of atoms
! Calculated volume = 12.8 Å³/atom
! Crystal system = monoclinic